(1)
Below is a relaxed DyTlHgBr6 crystal, with properties calculated at the PBE level.

Output
ΔE_f (raw)	-1.161	eV/atom
E_tot	-3.0840	eV/atom
total magnetic moment	0.00	μB per formula unit
DOS(E_F)	0.00	states/eV per cell

abc: 7.344 7.344 14.578
angles: 90.00 90.00 120.00
Positions (direct):
Br: 0.995 0.368 0.137
Br: 0.632 0.005 0.363
Br: 0.627 0.995 0.863
Hg: 0.667 0.333 0.750
Br: 0.368 0.995 0.637
Tl: 0.000 0.000 0.000
Br: 0.368 0.373 0.863
Tl: 0.000 0.000 0.500
Br: 0.005 0.373 0.637
Br: 0.373 0.005 0.137
Br: 0.005 0.632 0.863
Dy: 0.667 0.333 0.250
Hg: 0.333 0.667 0.250
Br: 0.373 0.368 0.363
Br: 0.632 0.627 0.137
Dy: 0.333 0.667 0.750
Br: 0.995 0.627 0.363
Br: 0.627 0.632 0.637

(2)
Below is a relaxed TaCu2Hg crystal, with properties calculated at the PBE level.

Output
E_tot	-4.6354	eV/atom
total magnetic moment	0.00	μB per formula unit
formation energy from the elements	0.4513	eV per atom
DOS(E_F)	3.32	states/eV per cell

abc: 2.852 4.981 4.646
angles: 90.00 90.00 90.00
Positions (direct):
Ta: 0.000 0.500 0.500
Hg: 0.500 0.000 0.500
Cu: 0.500 0.500 0.000
Cu: 0.000 0.000 0.000

(3)
Below is a relaxed SrErCu2Si2 crystal, with properties calculated at the PBE level.

Output
ΔE_f (raw)	-0.508	eV/atom
E_tot	-4.7222	eV/atom
total magnetic moment	0.00	μB per formula unit
DOS(E_F)	4.35	states/eV per cell

abc: 4.237 4.237 7.825
angles: 90.00 90.00 120.00
Positions (direct):
Si: 0.667 0.333 0.712
Er: 0.000 0.000 0.500
Cu: 0.667 0.333 0.294
Sr: 0.000 0.000 0.000
Si: 0.333 0.667 0.288
Cu: 0.333 0.667 0.706

(4)
Below is a relaxed BaGaAuS3 crystal, with properties calculated at the PBE level.

Output
ΔE_f (raw)	-0.951	eV/atom
E_tot	-4.3854	eV/atom
total magnetic moment	0.00	μB per formula unit

abc: 7.176 7.176 7.866
angles: 69.46 69.46 59.52
Positions (direct):
Ba: 0.296 0.296 0.226
Ga: 0.964 0.964 0.239
S: 0.224 0.224 0.663
Au: 0.718 0.282 0.500
S: 0.666 0.186 0.825
S: 0.776 0.776 0.337
S: 0.186 0.666 0.825
Ba: 0.704 0.704 0.774
S: 0.334 0.814 0.175
S: 0.814 0.334 0.175
Au: 0.282 0.718 0.500
Ga: 0.036 0.036 0.761

(5)
Below is a relaxed NdSm2Ir crystal, with properties calculated at the PBE level.

Output
E above lowest polymorph	164	meV per atom
E_tot	-6.0799	eV/atom
total magnetic moment	0.00	μB per formula unit
formation energy from the elements	-0.3131	eV per atom
DOS(E_F)	4.97	states/eV per cell

abc: 3.574 3.574 9.021
angles: 90.00 90.00 90.00
Positions (direct):
Nd: 0.500 0.500 0.500
Sm: 0.000 0.000 0.183
Ir: 0.500 0.500 0.000
Sm: 0.000 0.000 0.817

(6)
Below is a relaxed NaBiAu3 crystal, with properties calculated at the PBE level.

Output
E above lowest polymorph	321	meV per atom
E_tot	-2.8353	eV/atom
total magnetic moment	0.00	μB per formula unit
formation energy from the elements	0.1711	eV per atom
DOS(E_F)	1.23	states/eV per cell

abc: 5.489 5.489 5.489
angles: 90.00 90.00 90.00
Positions (direct):
Au: 0.000 0.000 0.500
Na: 0.500 0.500 0.500
Bi: 0.000 0.000 0.000
Au: 0.500 0.000 0.000
Au: 0.000 0.500 0.000

(7)
Below is a relaxed GdLu2Sc crystal, with properties calculated at the PBE level.

Output
E above lowest polymorph	80	meV per atom
E_tot	-7.2361	eV/atom
total magnetic moment	8.01	μB per formula unit
formation energy from the elements	0.1275	eV per atom
DOS(E_F)	9.07	states/eV per cell

abc: 5.482 5.482 5.482
angles: 60.00 60.00 60.00
Positions (direct):
Sc: 0.500 0.500 0.500
Gd: 0.000 0.000 0.000
Lu: 0.250 0.250 0.250
Lu: 0.750 0.750 0.750

(8)
Below is a relaxed AlZn2Cl crystal, with properties calculated at the PBE level.

Output
ΔE_f (raw)	-0.052	eV/atom
E above lowest polymorph	93	meV per atom
E_tot	-2.0862	eV/atom
total magnetic moment	0.00	μB per formula unit
DOS(E_F)	0.57	states/eV per cell

abc: 3.214 3.214 7.233
angles: 90.00 90.00 99.01
Positions (direct):
Al: 0.500 0.500 0.250
Zn: 0.000 0.000 0.480
Cl: 0.500 0.500 0.750
Zn: 0.000 0.000 0.020

(9)
Below is a relaxed SrCoOs4 crystal, with properties calculated at the PBE level.

Output
E_tot	-8.1612	eV/atom
total magnetic moment	2.78	μB per formula unit
formation energy from the elements	0.7899	eV per atom
DOS(E_F)	9.86	states/eV per cell

abc: 5.286 5.286 5.286
angles: 60.00 60.00 60.00
Positions (direct):
Os: 0.374 0.374 0.374
Os: 0.374 0.374 0.877
Os: 0.877 0.374 0.374
Sr: 0.750 0.750 0.750
Os: 0.374 0.877 0.374
Co: 0.000 0.000 0.000

(10)
Below is a relaxed PmHo6Er3Th2 crystal, with properties calculated at the PBE level.

Output
E_tot	-5.0301	eV/atom
total magnetic moment	0.00	μB per formula unit
formation energy from the elements	0.0320	eV per atom
DOS(E_F)	17.27	states/eV per cell

abc: 6.145 6.145 11.700
angles: 95.03 95.03 119.95
Positions (direct):
Pm: 0.000 0.000 0.000
Ho: 0.578 0.916 0.750
Er: 0.834 0.166 0.500
Ho: 0.084 0.422 0.250
Ho: 0.746 0.746 0.250
Ho: 0.254 0.254 0.750
Th: 0.667 0.333 0.000
Er: 0.166 0.834 0.500
Ho: 0.916 0.578 0.750
Th: 0.333 0.667 0.000
Ho: 0.422 0.084 0.250
Er: 0.500 0.500 0.500

(11)
Below is a relaxed NaCrSe2Br crystal, with properties calculated at the PBE level.

Output
ΔE_f (raw)	-0.478	eV/atom
E above lowest polymorph	0	meV per atom
E_tot	-4.3952	eV/atom
total magnetic moment	2.47	μB per formula unit
DOS(E_F)	3.53	states/eV per cell

abc: 4.813 4.813 5.557
angles: 90.00 90.00 90.00
Positions (direct):
Br: 0.000 0.000 0.500
Na: 0.500 0.500 0.500
Cr: 0.000 0.000 0.000
Se: 0.000 0.500 0.000
Se: 0.500 0.000 0.000

(12)
Below is a relaxed TlOsPd2 crystal, with properties calculated at the PBE level.

Output
E above lowest polymorph	0	meV per atom
E_tot	-5.4548	eV/atom
total magnetic moment	1.85	μB per formula unit
formation energy from the elements	0.5407	eV per atom
DOS(E_F)	4.20	states/eV per cell

abc: 4.586 4.586 4.586
angles: 60.00 60.00 60.00
Positions (direct):
Os: 0.000 0.000 0.000
Pd: 0.250 0.250 0.250
Tl: 0.500 0.500 0.500
Pd: 0.750 0.750 0.750

What did the second record say?
Below is a relaxed TaCu2Hg crystal, with properties calculated at the PBE level.

Output
E_tot	-4.6354	eV/atom
total magnetic moment	0.00	μB per formula unit
formation energy from the elements	0.4513	eV per atom
DOS(E_F)	3.32	states/eV per cell

abc: 2.852 4.981 4.646
angles: 90.00 90.00 90.00
Positions (direct):
Ta: 0.000 0.500 0.500
Hg: 0.500 0.000 0.500
Cu: 0.500 0.500 0.000
Cu: 0.000 0.000 0.000

Among the records above, which one has the highest E_tot?
AlZn2Cl